# 1
DFT (PBE-GGA) results for a relaxed Zn3Si5 crystal. Values from VASP.

```
&SYSTEM
  ibrav = 0, nat = 16, ntyp = 2
/
ATOMIC_SPECIES
Zn 65.41 Zn.upf
Si 28.09 Si.upf
CELL_PARAMETERS angstrom
7.6896 0.0000 0.0000
0.0000 8.3122 0.0000
0.0000 0.0000 3.8118
ATOMIC_POSITIONS crystal
Zn 0.0000 0.0000 0.0000
Zn 0.0000 0.2341 0.5000
Zn 0.0000 0.7659 0.5000
Zn 0.5000 0.2659 0.5000
Zn 0.5000 0.5000 0.0000
Zn 0.5000 0.7341 0.5000
Si 0.0000 0.5000 0.0000
Si 0.2333 0.5000 0.5000
Si 0.2500 0.2500 0.0000
Si 0.2500 0.7500 0.0000
Si 0.2667 0.0000 0.5000
Si 0.5000 0.0000 0.0000
Si 0.7333 0.0000 0.5000
Si 0.7500 0.2500 0.0000
Si 0.7500 0.7500 0.0000
Si 0.7667 0.5000 0.5000
```

Properties
SG: Cmmm (65)
formation energy without anion corrections: 0.39 eV/atom
ρ: 4.59 g cm⁻³
relative energy among the computed polymorphs: 113 meV/atom

# 2
DFT (PBE-GGA) results for a relaxed RbIr crystal. Values from VASP.

```
&SYSTEM
  ibrav = 0, nat = 4, ntyp = 2
/
ATOMIC_SPECIES
Rb 85.47 Rb.upf
Ir 192.22 Ir.upf
CELL_PARAMETERS angstrom
4.1324 0.0000 0.0000
-1.8102 3.7149 0.0000
-0.9511 -1.7870 10.1420
ATOMIC_POSITIONS crystal
Rb 0.1128 0.1231 0.2561
Rb 0.8872 0.8769 0.7439
Ir 0.3201 0.6799 0.0000
Ir 0.6799 0.3201 0.0000
```

Properties
SG: P-1 (2)
ρ: 5.92 g cm⁻³
relative energy among the computed polymorphs: 0 meV/atom

# 3
DFT (PBE-GGA) results for a relaxed Rb3Cd9Hg2 crystal. Values from VASP.

```
&SYSTEM
  ibrav = 0, nat = 14, ntyp = 3
/
ATOMIC_SPECIES
Rb 85.47 Rb.upf
Cd 112.41 Cd.upf
Hg 200.59 Hg.upf
CELL_PARAMETERS angstrom
-2.6320 5.3756 7.5791
2.6320 -5.3756 7.5791
2.6320 5.3756 -7.5791
ATOMIC_POSITIONS crystal
Rb 0.0000 0.0000 0.0000
Rb 0.3079 0.3079 0.0000
Rb 0.6921 0.6921 0.0000
Cd 0.0296 0.6735 0.3561
Cd 0.1559 0.8696 0.2862
Cd 0.3174 0.6735 0.6439
Cd 0.4166 0.1304 0.2862
Cd 0.5000 0.0000 0.5000
Cd 0.5834 0.8696 0.7138
Cd 0.6826 0.3265 0.3561
Cd 0.8441 0.1304 0.7138
Cd 0.9704 0.3265 0.6439
Hg 0.2839 0.5000 0.7839
Hg 0.7161 0.5000 0.2161
```

Properties
SG: Immm (71)
ρ: 6.46 g cm⁻³
E_tot: -0.905 eV per atom

# 4
DFT (PBE-GGA) results for a relaxed Np2Tl3CuO9 crystal. Values from VASP.

```
&SYSTEM
  ibrav = 0, nat = 15, ntyp = 4
/
ATOMIC_SPECIES
Np 237.00 Np.upf
Tl 204.38 Tl.upf
Cu 63.55 Cu.upf
O 16.00 O.upf
CELL_PARAMETERS angstrom
6.0051 0.0000 0.0000
-3.0026 5.2006 0.0000
0.0000 0.0000 7.3734
ATOMIC_POSITIONS crystal
Np 0.3333 0.6667 0.1720
Np 0.6667 0.3333 0.8280
Tl 0.0000 0.0000 0.0000
Tl 0.3333 0.6667 0.6517
Tl 0.6667 0.3333 0.3483
Cu 0.0000 0.0000 0.5000
O 0.0000 0.5000 0.0000
O 0.1747 0.3493 0.3224
O 0.1747 0.8253 0.3224
O 0.3493 0.1747 0.6776
O 0.5000 0.0000 0.0000
O 0.5000 0.5000 0.0000
O 0.6507 0.8253 0.3224
O 0.8253 0.1747 0.6776
O 0.8253 0.6507 0.6776
```

Properties
SG: P-3m1 (164)
formation energy without anion corrections: -1.73 eV/atom
ρ: 9.34 g cm⁻³

# 5
DFT (PBE-GGA) results for a relaxed NaTbSn crystal. Values from VASP.

```
&SYSTEM
  ibrav = 0, nat = 3, ntyp = 3
/
ATOMIC_SPECIES
Na 22.99 Na.upf
Tb 158.93 Tb.upf
Sn 118.71 Sn.upf
CELL_PARAMETERS angstrom
5.1571 0.0000 0.0000
-2.5785 4.4661 0.0000
0.0000 0.0000 3.4964
ATOMIC_POSITIONS crystal
Na 0.0000 0.0000 0.0000
Tb 0.3333 0.6667 0.4519
Sn 0.6667 0.3333 0.8820
```

Properties
SG: P3m1 (156)
ρ: 6.20 g cm⁻³
E_tot: -3.596 eV per atom

# 6
DFT (PBE-GGA) results for a relaxed TbZnAu2 crystal. Values from VASP.

```
&SYSTEM
  ibrav = 0, nat = 16, ntyp = 3
/
ATOMIC_SPECIES
Tb 158.93 Tb.upf
Zn 65.41 Zn.upf
Au 196.97 Au.upf
CELL_PARAMETERS angstrom
7.6395 0.0000 0.0000
0.0000 7.4249 0.0000
0.0000 0.0000 5.6308
ATOMIC_POSITIONS crystal
Tb 0.0398 0.2500 0.1428
Tb 0.4602 0.7500 0.6428
Tb 0.5398 0.2500 0.3572
Tb 0.9602 0.7500 0.8572
Zn 0.1107 0.7500 0.3648
Zn 0.3893 0.2500 0.8648
Zn 0.6107 0.7500 0.1352
Zn 0.8893 0.2500 0.6352
Au 0.1892 0.0533 0.5888
Au 0.1892 0.4467 0.5888
Au 0.3108 0.5533 0.0888
Au 0.3108 0.9467 0.0888
Au 0.6892 0.0533 0.9112
Au 0.6892 0.4467 0.9112
Au 0.8108 0.5533 0.4112
Au 0.8108 0.9467 0.4112
```

Properties
SG: Pnma (62)
ρ: 12.86 g cm⁻³
E_tot: -3.762 eV per atom

# 7
DFT (PBE-GGA) results for a relaxed Cs2ZnHgPd crystal. Values from VASP.

```
&SYSTEM
  ibrav = 0, nat = 5, ntyp = 4
/
ATOMIC_SPECIES
Cs 132.91 Cs.upf
Zn 65.41 Zn.upf
Hg 200.59 Hg.upf
Pd 106.42 Pd.upf
CELL_PARAMETERS angstrom
6.7402 0.0000 0.0000
0.0000 6.7402 0.0000
0.0000 0.0000 4.9405
ATOMIC_POSITIONS crystal
Cs 0.0000 0.5000 0.0000
Cs 0.5000 0.0000 0.0000
Zn 0.0000 0.0000 0.5000
Hg 0.5000 0.5000 0.5000
Pd 0.0000 0.0000 0.0000
```

Properties
SG: P4/mmm (123)
ρ: 4.72 g cm⁻³
E_tot: -1.756 eV per atom

# 8
DFT (PBE-GGA) results for a relaxed MnCuAs2Br crystal. Values from VASP.

```
&SYSTEM
  ibrav = 0, nat = 5, ntyp = 4
/
ATOMIC_SPECIES
Mn 54.94 Mn.upf
Cu 63.55 Cu.upf
As 74.92 As.upf
Br 79.90 Br.upf
CELL_PARAMETERS angstrom
4.5331 0.0000 0.0000
0.0000 4.5331 0.0000
0.0000 0.0000 5.4020
ATOMIC_POSITIONS crystal
Mn 0.0000 0.0000 0.0000
Cu 0.5000 0.5000 0.5000
As 0.0000 0.5000 0.0000
As 0.5000 0.0000 0.0000
Br 0.0000 0.0000 0.5000
```

Properties
SG: P4/mmm (123)
formation energy without anion corrections: 0.54 eV/atom
ρ: 5.21 g cm⁻³
relative energy among the computed polymorphs: 0 meV/atom

# 9
DFT (PBE-GGA) results for a relaxed CdCoSn3 crystal. Values from VASP.

```
&SYSTEM
  ibrav = 0, nat = 5, ntyp = 3
/
ATOMIC_SPECIES
Cd 112.41 Cd.upf
Co 58.93 Co.upf
Sn 118.71 Sn.upf
CELL_PARAMETERS angstrom
4.9808 0.0000 0.0000
0.0000 4.9808 0.0000
0.0000 0.0000 4.9808
ATOMIC_POSITIONS crystal
Cd 0.0000 0.0000 0.0000
Co 0.5000 0.5000 0.5000
Sn 0.0000 0.5000 0.5000
Sn 0.5000 0.0000 0.5000
Sn 0.5000 0.5000 0.0000
```

Properties
SG: Pm-3m (221)
ρ: 7.09 g cm⁻³
relative energy among the computed polymorphs: 0 meV/atom

# 10
DFT (PBE-GGA) results for a relaxed LuMnNiRh crystal. Values from VASP.

```
&SYSTEM
  ibrav = 0, nat = 16, ntyp = 4
/
ATOMIC_SPECIES
Lu 174.97 Lu.upf
Mn 54.94 Mn.upf
Ni 58.69 Ni.upf
Rh 102.91 Rh.upf
CELL_PARAMETERS angstrom
6.3382 0.0000 0.0000
0.0000 6.3382 0.0000
0.0000 0.0000 6.3382
ATOMIC_POSITIONS crystal
Lu 0.0000 0.0000 0.0000
Lu 0.0000 0.5000 0.5000
Lu 0.5000 0.0000 0.5000
Lu 0.5000 0.5000 0.0000
Mn 0.0000 0.0000 0.5000
Mn 0.0000 0.5000 0.0000
Mn 0.5000 0.0000 0.0000
Mn 0.5000 0.5000 0.5000
Ni 0.2500 0.2500 0.7500
Ni 0.2500 0.7500 0.2500
Ni 0.7500 0.2500 0.2500
Ni 0.7500 0.7500 0.7500
Rh 0.2500 0.2500 0.2500
Rh 0.2500 0.7500 0.7500
Rh 0.7500 0.2500 0.7500
Rh 0.7500 0.7500 0.2500
```

Properties
SG: F-43m (216)
ρ: 10.21 g cm⁻³
E_tot: -7.098 eV per atom

# 11
DFT (PBE-GGA) results for a relaxed NdCd2Au2 crystal. Values from VASP.

```
&SYSTEM
  ibrav = 0, nat = 10, ntyp = 3
/
ATOMIC_SPECIES
Nd 144.24 Nd.upf
Cd 112.41 Cd.upf
Au 196.97 Au.upf
CELL_PARAMETERS angstrom
5.2149 0.0000 0.0000
0.0000 5.0583 0.0000
-2.0568 0.0000 8.5791
ATOMIC_POSITIONS crystal
Nd 0.1738 0.2500 0.2952
Nd 0.8262 0.7500 0.7048
Cd 0.3424 0.2500 0.6861
Cd 0.3944 0.7500 0.9329
Cd 0.6056 0.2500 0.0671
Cd 0.6576 0.7500 0.3139
Au 0.0363 0.2500 0.9150
Au 0.2465 0.7500 0.5032
Au 0.7535 0.2500 0.4968
Au 0.9637 0.7500 0.0850
```

Properties
SG: P2_1/m (11)
ρ: 11.20 g cm⁻³
relative energy among the computed polymorphs: 0 meV/atom

# 12
DFT (PBE-GGA) results for a relaxed Tc2HgRu crystal. Values from VASP.

```
&SYSTEM
  ibrav = 0, nat = 4, ntyp = 3
/
ATOMIC_SPECIES
Tc 98.00 Tc.upf
Hg 200.59 Hg.upf
Ru 101.07 Ru.upf
CELL_PARAMETERS angstrom
4.7308 0.0000 0.0000
0.0000 4.7308 0.0000
0.0000 0.0000 2.8514
ATOMIC_POSITIONS crystal
Tc 0.0000 0.5000 0.0000
Tc 0.5000 0.0000 0.0000
Hg 0.0000 0.0000 0.5000
Ru 0.5000 0.5000 0.5000
```

Properties
SG: P4/mmm (123)
ρ: 12.95 g cm⁻³
E_tot: -6.827 eV per atom

# 13
DFT (PBE-GGA) results for a relaxed La2MgSn crystal. Values from VASP.

```
&SYSTEM
  ibrav = 0, nat = 4, ntyp = 3
/
ATOMIC_SPECIES
La 138.91 La.upf
Mg 24.30 Mg.upf
Sn 118.71 Sn.upf
CELL_PARAMETERS angstrom
5.2197 0.0000 0.0000
0.0000 5.2197 0.0000
0.0000 0.0000 4.4563
ATOMIC_POSITIONS crystal
La 0.0000 0.5000 0.0000
La 0.5000 0.0000 0.0000
Mg 0.0000 0.0000 0.5000
Sn 0.5000 0.5000 0.5000
```

Properties
SG: P4/mmm (123)
ρ: 5.76 g cm⁻³
E_tot: -4.348 eV per atom

# 14
DFT (PBE-GGA) results for a relaxed La6InNi2 crystal. Values from VASP.

```
&SYSTEM
  ibrav = 0, nat = 18, ntyp = 3
/
ATOMIC_SPECIES
La 138.91 La.upf
In 114.82 In.upf
Ni 58.69 Ni.upf
CELL_PARAMETERS angstrom
-4.8064 5.2113 5.3594
4.8064 -5.2113 5.3594
4.8064 5.2113 -5.3594
ATOMIC_POSITIONS crystal
La 0.0237 0.2268 0.7968
La 0.1809 0.2964 0.4773
La 0.1809 0.7036 0.8845
La 0.3244 0.0133 0.6888
La 0.3244 0.6356 0.3112
La 0.4300 0.2268 0.2032
La 0.5700 0.7732 0.7968
La 0.6756 0.3644 0.6888
La 0.6756 0.9867 0.3112
La 0.8191 0.2964 0.1155
La 0.8191 0.7036 0.5227
La 0.9763 0.7732 0.2032
In 0.0000 0.0000 0.0000
In 0.5000 0.5000 0.0000
Ni 0.1213 0.6213 0.5000
Ni 0.3565 0.0000 0.3565
Ni 0.6435 0.0000 0.6435
Ni 0.8787 0.3787 0.5000
```

Properties
SG: Immm (71)
ρ: 6.59 g cm⁻³
E_tot: -5.148 eV per atom

# 15
DFT (PBE-GGA) results for a relaxed Cs2ZnCr crystal. Values from VASP.

```
&SYSTEM
  ibrav = 0, nat = 16, ntyp = 3
/
ATOMIC_SPECIES
Cs 132.91 Cs.upf
Zn 65.41 Zn.upf
Cr 52.00 Cr.upf
CELL_PARAMETERS angstrom
9.2476 0.0000 0.0000
0.0000 9.2476 0.0000
0.0000 0.0000 9.2476
ATOMIC_POSITIONS crystal
Cs 0.2500 0.2500 0.2500
Cs 0.2500 0.2500 0.7500
Cs 0.2500 0.7500 0.2500
Cs 0.2500 0.7500 0.7500
Cs 0.7500 0.2500 0.2500
Cs 0.7500 0.2500 0.7500
Cs 0.7500 0.7500 0.2500
Cs 0.7500 0.7500 0.7500
Zn 0.0000 0.0000 0.0000
Zn 0.0000 0.5000 0.5000
Zn 0.5000 0.0000 0.5000
Zn 0.5000 0.5000 0.0000
Cr 0.0000 0.0000 0.5000
Cr 0.0000 0.5000 0.0000
Cr 0.5000 0.0000 0.0000
Cr 0.5000 0.5000 0.5000
```

Properties
SG: Fm-3m (225)
ρ: 3.22 g cm⁻³
E_tot: -2.392 eV per atom

# 16
DFT (PBE-GGA) results for a relaxed SmCd4Hg crystal. Values from VASP.

```
&SYSTEM
  ibrav = 0, nat = 6, ntyp = 3
/
ATOMIC_SPECIES
Sm 150.36 Sm.upf
Cd 112.41 Cd.upf
Hg 200.59 Hg.upf
CELL_PARAMETERS angstrom
0.0000 4.2015 4.2015
4.2015 0.0000 4.2015
4.2015 4.2015 0.0000
ATOMIC_POSITIONS crystal
Sm 0.0000 0.0000 0.0000
Cd 0.3746 0.3746 0.3746
Cd 0.3746 0.3746 0.8761
Cd 0.3746 0.8761 0.3746
Cd 0.8761 0.3746 0.3746
Hg 0.7500 0.7500 0.7500
```

Properties
SG: F-43m (216)
ρ: 8.96 g cm⁻³
relative energy among the computed polymorphs: 122 meV/atom

# 17
DFT (PBE-GGA) results for a relaxed RbUZnSe3 crystal. Values from VASP.

```
&SYSTEM
  ibrav = 0, nat = 12, ntyp = 4
/
ATOMIC_SPECIES
Rb 85.47 Rb.upf
U 238.03 U.upf
Zn 65.41 Zn.upf
Se 78.96 Se.upf
CELL_PARAMETERS angstrom
9.4916 0.0000 0.0000
0.0000 4.1606 0.0000
-3.4000 0.0000 9.5034
ATOMIC_POSITIONS crystal
Rb 0.2076 0.2500 0.2387
Rb 0.7924 0.7500 0.7613
U 0.3348 0.7500 0.8609
U 0.6652 0.2500 0.1391
Zn 0.0856 0.2500 0.6117
Zn 0.9144 0.7500 0.3883
Se 0.1150 0.2500 0.8612
Se 0.1939 0.7500 0.5379
Se 0.4638 0.7500 0.1625
Se 0.5362 0.2500 0.8375
Se 0.8061 0.2500 0.4621
Se 0.8850 0.7500 0.1388
```

Properties
SG: P2_1/m (11)
formation energy without anion corrections: -1.02 eV/atom
ρ: 5.54 g cm⁻³

# 18
DFT (PBE-GGA) results for a relaxed Mg2MnPbCl8 crystal. Values from VASP.

```
&SYSTEM
  ibrav = 0, nat = 12, ntyp = 4
/
ATOMIC_SPECIES
Mg 24.30 Mg.upf
Mn 54.94 Mn.upf
Pb 207.20 Pb.upf
Cl 35.45 Cl.upf
CELL_PARAMETERS angstrom
6.0817 0.0000 0.0000
0.0000 7.8538 0.0000
-0.1260 0.0000 6.3192
ATOMIC_POSITIONS crystal
Mg 0.0000 0.2381 0.0000
Mg 0.0000 0.7619 0.0000
Mn 0.5000 0.0000 0.5000
Pb 0.5000 0.5000 0.5000
Cl 0.2037 0.5000 0.8528
Cl 0.2209 0.0000 0.8307
Cl 0.2636 0.2206 0.3201
Cl 0.2636 0.7794 0.3201
Cl 0.7364 0.2206 0.6799
Cl 0.7364 0.7794 0.6799
Cl 0.7791 0.0000 0.1693
Cl 0.7963 0.5000 0.1472
```

Properties
SG: P2/m (10)
formation energy without anion corrections: -1.43 eV/atom
ρ: 3.27 g cm⁻³

# 19
DFT (PBE-GGA) results for a relaxed GeIr3I crystal. Values from VASP.

```
&SYSTEM
  ibrav = 0, nat = 5, ntyp = 3
/
ATOMIC_SPECIES
Ge 72.64 Ge.upf
Ir 192.22 Ir.upf
I 126.90 I.upf
CELL_PARAMETERS angstrom
4.8802 0.0000 0.0000
0.0000 4.8802 0.0000
0.0000 0.0000 4.8802
ATOMIC_POSITIONS crystal
Ge 0.0000 0.0000 0.0000
Ir 0.0000 0.5000 0.5000
Ir 0.5000 0.0000 0.5000
Ir 0.5000 0.5000 0.0000
I 0.5000 0.5000 0.5000
```

Properties
SG: Pm-3m (221)
formation energy without anion corrections: 1.96 eV/atom
ρ: 11.09 g cm⁻³
relative energy among the computed polymorphs: 628 meV/atom

# 20
DFT (PBE-GGA) results for a relaxed CeZrGaAg crystal. Values from VASP.

```
&SYSTEM
  ibrav = 0, nat = 16, ntyp = 4
/
ATOMIC_SPECIES
Ce 140.12 Ce.upf
Zr 91.22 Zr.upf
Ga 69.72 Ga.upf
Ag 107.87 Ag.upf
CELL_PARAMETERS angstrom
7.1260 0.0000 0.0000
0.0000 7.1260 0.0000
0.0000 0.0000 7.1260
ATOMIC_POSITIONS crystal
Ce 0.0000 0.0000 0.0000
Ce 0.0000 0.5000 0.5000
Ce 0.5000 0.0000 0.5000
Ce 0.5000 0.5000 0.0000
Zr 0.0000 0.0000 0.5000
Zr 0.0000 0.5000 0.0000
Zr 0.5000 0.0000 0.0000
Zr 0.5000 0.5000 0.5000
Ga 0.2500 0.2500 0.2500
Ga 0.2500 0.7500 0.7500
Ga 0.7500 0.2500 0.7500
Ga 0.7500 0.7500 0.2500
Ag 0.2500 0.2500 0.7500
Ag 0.2500 0.7500 0.2500
Ag 0.7500 0.2500 0.2500
Ag 0.7500 0.7500 0.7500
```

Properties
SG: F-43m (216)
ρ: 7.51 g cm⁻³
E_tot: -5.269 eV per atom